First-principles (GGA-PBEsol) data for an optimized crystal structure of EuGe7Rh3, as listed in Alexandria.

Properties
Total magnetization   13.24 μB/cell
ΔH_f (0 K)   -559 meV per atom
Total DFT energy (no corrections)   -6.882 eV/atom
Space group   R-3c, No. 167

```
EuGe7Rh3
1.0
3.923 2.265 6.860
-3.923 2.265 6.860
0.000 -4.530 6.860
Eu Ge Rh
2 14 6
Direct
0.000 0.000 0.000
0.500 0.500 0.500
0.075 0.851 0.667
0.149 0.333 0.925
0.167 0.351 0.575
0.250 0.250 0.250
0.333 0.925 0.149
0.351 0.575 0.167
0.425 0.833 0.649
0.575 0.167 0.351
0.649 0.425 0.833
0.667 0.075 0.851
0.750 0.750 0.750
0.833 0.649 0.425
0.851 0.667 0.075
0.925 0.149 0.333
0.067 0.750 0.433
0.250 0.567 0.933
0.433 0.067 0.750
0.567 0.933 0.250
0.750 0.433 0.067
0.933 0.250 0.567
```